This record from Alexandria via LeMat-Bulk describes a relaxed structure of Sm2HIr. The functional is PBE-GGA.

Summary:
magnetization: 0.09 μB/f.u.
E: -22.89 eV for the cell shown
crystal system: tetragonal
symmetry: P4/mmm, No. 123

Unit cell a=3.309 b=3.309 c=7.225 alpha=90.00 beta=90.00 gamma=90.00
Element x y z (fractional)
Sm 0.000 0.000 0.249
Sm 0.000 0.000 0.751
H 0.500 0.500 0.000
Ir 0.500 0.500 0.500